## BaZnInBi2 (PBE-GGA)

Data for BaZnInBi2 after structural relaxation.

Results
- E_form (eV per atom) = -0.192
- crystal system = tetragonal
- energy relative to the lowest polymorph listed for this composition (eV/atom) = 0.1244
- total moment (μB/atom) = 0.000

Structure (CIF):
```
data_BaZnInBi2
_symmetry_space_group_name_H-M 'P 4/m m m'
_symmetry_Int_Tables_number 123
_symmetry_space_group_name_Hall '-P 4 2'
_cell_length_a 5.656
_cell_length_b 5.656
_cell_length_c 5.328
_cell_angle_alpha 90.00
_cell_angle_beta 90.00
_cell_angle_gamma 90.00
loop_
_atom_site_label
_atom_site_type_symbol
_atom_site_fract_x
_atom_site_fract_y
_atom_site_fract_z
Ba1 Ba 0.000 0.000 0.000
Zn1 Zn 0.500 0.500 0.500
In1 In 0.500 0.500 0.000
Bi1 Bi 0.000 0.500 0.500
```